# SCAN NaAlTcP2, single point on PBEsol structure
# Total DFT energy (no corrections): -11.726 eV/atom
# ΔH_f (0 K): 1.84 eV/atom
data_NaAlTcP2
_chemical_formula_sum 'Na1 Al1 Tc1 P2'
_cell_length_a 4.5384
_cell_length_b 4.5384
_cell_length_c 4.7505
_cell_angle_alpha 90.00
_cell_angle_beta 90.00
_cell_angle_gamma 90.00
_symmetry_space_group_name_H-M 'P 4/m m m'
_symmetry_Int_Tables_number 123
_symmetry_space_group_name_Hall '-P 4 2'
loop_
_atom_site_label
_atom_site_type_symbol
_atom_site_fract_x
_atom_site_fract_y
_atom_site_fract_z
_atom_site_occupancy
Na1 Na 0.0000 0.0000 0.0000 1
Al1 Al 0.5000 0.5000 0.5000 1
Tc1 Tc 0.0000 0.0000 0.5000 1
P1 P 0.0000 0.5000 0.0000 1

---

# SCAN RbMoRhC2, single point on PBEsol structure
# Total DFT energy (no corrections): -19.633 eV/atom
# ΔH_f (0 K): 2.29 eV/atom
data_RbMoRhC2
_chemical_formula_sum 'Rb1 Mo1 Rh1 C2'
_cell_length_a 4.0094
_cell_length_b 4.0094
_cell_length_c 5.7959
_cell_angle_alpha 90.00
_cell_angle_beta 90.00
_cell_angle_gamma 90.00
_symmetry_space_group_name_H-M 'P 4/m m m'
_symmetry_Int_Tables_number 123
_symmetry_space_group_name_Hall '-P 4 2'
loop_
_atom_site_label
_atom_site_type_symbol
_atom_site_fract_x
_atom_site_fract_y
_atom_site_fract_z
_atom_site_occupancy
Rb1 Rb 0.0000 0.0000 0.0000 1
Mo1 Mo 0.0000 0.0000 0.5000 1
Rh1 Rh 0.5000 0.5000 0.0000 1
C1 C 0.0000 0.5000 0.5000 1

---

# SCAN Li2CuNi, single point on PBEsol structure
# Total DFT energy (no corrections): -9.010 eV/atom
# ΔH_f (0 K): 0.03 eV/atom
data_Li2CuNi
_chemical_formula_sum 'Li2 Cu1 Ni1'
_cell_length_a 2.4716
_cell_length_b 4.1832
_cell_length_c 4.4493
_cell_angle_alpha 90.00
_cell_angle_beta 94.73
_cell_angle_gamma 90.00
_symmetry_space_group_name_H-M 'P 1 2/m 1'
_symmetry_Int_Tables_number 10
_symmetry_space_group_name_Hall '-P 2y'
loop_
_atom_site_label
_atom_site_type_symbol
_atom_site_fract_x
_atom_site_fract_y
_atom_site_fract_z
_atom_site_occupancy
Li1 Li 0.2469 0.0000 0.2562 1
Cu1 Cu 0.5000 0.5000 0.0000 1
Ni1 Ni 0.0000 0.5000 0.5000 1

---

# SCAN Mg2FeAg, single point on PBEsol structure
# Total DFT energy (no corrections): -14.825 eV/atom
# ΔH_f (0 K): 0.04 eV/atom
data_Mg2FeAg
_chemical_formula_sum 'Mg2 Fe1 Ag1'
_cell_length_a 2.8747
_cell_length_b 2.8747
_cell_length_c 7.8236
_cell_angle_alpha 90.00
_cell_angle_beta 90.00
_cell_angle_gamma 90.00
_symmetry_space_group_name_H-M 'P 4/m m m'
_symmetry_Int_Tables_number 123
_symmetry_space_group_name_Hall '-P 4 2'
loop_
_atom_site_label
_atom_site_type_symbol
_atom_site_fract_x
_atom_site_fract_y
_atom_site_fract_z
_atom_site_occupancy
Mg1 Mg 0.0000 0.0000 0.2348 1
Fe1 Fe 0.5000 0.5000 0.0000 1
Ag1 Ag 0.5000 0.5000 0.5000 1

---

# SCAN TlFeSe, single point on PBEsol structure
# Total DFT energy (no corrections): -36.838 eV/atom
# Energy relative to the elements, uncorrected: 0.0176 eV per atom
data_TlFeSe
_chemical_formula_sum 'Tl1 Fe1 Se1'
_cell_length_a 4.0994
_cell_length_b 4.0994
_cell_length_c 4.4253
_cell_angle_alpha 90.00
_cell_angle_beta 90.00
_cell_angle_gamma 120.00
_symmetry_space_group_name_H-M 'P -6 m 2'
_symmetry_Int_Tables_number 187
_symmetry_space_group_name_Hall 'P -6 2'
loop_
_atom_site_label
_atom_site_type_symbol
_atom_site_fract_x
_atom_site_fract_y
_atom_site_fract_z
_atom_site_occupancy
Tl1 Tl 0.0000 0.0000 0.0000 1
Fe1 Fe 0.6667 0.3333 0.5000 1
Se1 Se 0.3333 0.6667 0.5000 1

---

# SCAN TiSiIO2, single point on PBEsol structure
# Total DFT energy (no corrections): -16.013 eV/atom
# Energy relative to the elements, uncorrected: -0.9634 eV per atom
data_TiSiIO2
_chemical_formula_sum 'Ti1 Si1 I1 O2'
_cell_length_a 3.8681
_cell_length_b 3.8681
_cell_length_c 5.7851
_cell_angle_alpha 90.00
_cell_angle_beta 90.00
_cell_angle_gamma 90.00
_symmetry_space_group_name_H-M 'P 4/m m m'
_symmetry_Int_Tables_number 123
_symmetry_space_group_name_Hall '-P 4 2'
loop_
_atom_site_label
_atom_site_type_symbol
_atom_site_fract_x
_atom_site_fract_y
_atom_site_fract_z
_atom_site_occupancy
Ti1 Ti 0.0000 0.0000 0.0000 1
Si1 Si 0.5000 0.5000 0.5000 1
I1 I 0.0000 0.0000 0.5000 1
O1 O 0.0000 0.5000 0.0000 1

---

# SCAN K2TiCu2S4, single point on PBEsol structure
# Total DFT energy (no corrections): -12.511 eV/atom
# Energy relative to the elements, uncorrected: -1.2227 eV per atom
data_K2TiCu2S4
_chemical_formula_sum 'K4 Ti2 Cu4 S8'
_cell_length_a 5.4721
_cell_length_b 5.4721
_cell_length_c 12.6656
_cell_angle_alpha 90.00
_cell_angle_beta 90.00
_cell_angle_gamma 90.00
_symmetry_space_group_name_H-M 'P 42/m c m'
_symmetry_Int_Tables_number 132
_symmetry_space_group_name_Hall '-P 4c 2c'
loop_
_atom_site_label
_atom_site_type_symbol
_atom_site_fract_x
_atom_site_fract_y
_atom_site_fract_z
_atom_site_occupancy
K1 K 0.2420 0.2420 0.0000 1
Ti1 Ti 0.5000 0.5000 0.2500 1
Cu1 Cu 0.0000 0.5000 0.2500 1
S1 S 0.2578 0.2578 0.3507 1

---

# SCAN CdRuO2F, single point on PBEsol structure
# Total DFT energy (no corrections): -16.229 eV/atom
# Energy relative to the elements, uncorrected: 0.0197 eV per atom
data_CdRuO2F
_chemical_formula_sum 'Cd1 Ru1 O2 F1'
_cell_length_a 4.1153
_cell_length_b 4.1153
_cell_length_c 4.1935
_cell_angle_alpha 90.00
_cell_angle_beta 90.00
_cell_angle_gamma 90.00
_symmetry_space_group_name_H-M 'P 4/m m m'
_symmetry_Int_Tables_number 123
_symmetry_space_group_name_Hall '-P 4 2'
loop_
_atom_site_label
_atom_site_type_symbol
_atom_site_fract_x
_atom_site_fract_y
_atom_site_fract_z
_atom_site_occupancy
Cd1 Cd 0.0000 0.0000 0.0000 1
Ru1 Ru 0.5000 0.5000 0.5000 1
O1 O 0.0000 0.5000 0.0000 1
F1 F 0.0000 0.0000 0.5000 1

---

# SCAN Te2IrAu, single point on PBEsol structure
# Total DFT energy (no corrections): -53.430 eV/atom
# Energy relative to the elements, uncorrected: 0.2600 eV per atom
data_Te2IrAu
_chemical_formula_sum 'Te4 Ir2 Au2'
_cell_length_a 3.4701
_cell_length_b 4.1262
_cell_length_c 12.1008
_cell_angle_alpha 90.00
_cell_angle_beta 90.00
_cell_angle_gamma 90.00
_symmetry_space_group_name_H-M 'I m m 2'
_symmetry_Int_Tables_number 44
_symmetry_space_group_name_Hall 'I 2 -2'
loop_
_atom_site_label
_atom_site_type_symbol
_atom_site_fract_x
_atom_site_fract_y
_atom_site_fract_z
_atom_site_occupancy
Te1 Te 0.0000 0.0000 0.0000 1
Te2 Te 0.0000 0.5000 0.2174 1
Ir1 Ir 0.0000 0.0000 0.5502 1
Au1 Au 0.0000 0.5000 0.8410 1

---

# SCAN KRuSe2, single point on PBEsol structure
# Total DFT energy (no corrections): -20.551 eV/atom
# Energy relative to the elements, uncorrected: 0.2770 eV per atom
data_KRuSe2
_chemical_formula_sum 'K3 Ru3 Se6'
_cell_length_a 3.0598
_cell_length_b 3.0598
_cell_length_c 29.2969
_cell_angle_alpha 90.00
_cell_angle_beta 90.00
_cell_angle_gamma 120.00
_symmetry_space_group_name_H-M 'R -3 m'
_symmetry_Int_Tables_number 166
_symmetry_space_group_name_Hall '-R 3 2"'
loop_
_atom_site_label
_atom_site_type_symbol
_atom_site_fract_x
_atom_site_fract_y
_atom_site_fract_z
_atom_site_occupancy
K1 K 0.0000 0.0000 0.0000 1
Ru1 Ru 0.0000 0.0000 0.5000 1
Se1 Se 0.0000 0.0000 0.4207 1

---

# SCAN BaLiLa2, single point on PBEsol structure
# Total DFT energy (no corrections): -31.781 eV/atom
# ΔH_f (0 K): 0.26 eV/atom
data_BaLiLa2
_chemical_formula_sum 'Ba4 Li4 La8'
_cell_length_a 8.1794
_cell_length_b 8.1794
_cell_length_c 8.1794
_cell_angle_alpha 90.00
_cell_angle_beta 90.00
_cell_angle_gamma 90.00
_symmetry_space_group_name_H-M 'F -4 3 m'
_symmetry_Int_Tables_number 216
_symmetry_space_group_name_Hall 'F -4 2 3'
loop_
_atom_site_label
_atom_site_type_symbol
_atom_site_fract_x
_atom_site_fract_y
_atom_site_fract_z
_atom_site_occupancy
Ba1 Ba 0.0000 0.0000 0.0000 1
Li1 Li 0.2500 0.2500 0.2500 1
La1 La 0.0000 0.0000 0.5000 1
La2 La 0.2500 0.2500 0.7500 1

---

# SCAN ZrAsPd, single point on PBEsol structure
# Total DFT energy (no corrections): -28.932 eV/atom
# ΔH_f (0 K): -1.04 eV/atom
data_ZrAsPd
_chemical_formula_sum 'Zr10 As10 Pd10'
_cell_length_a 3.8949
_cell_length_b 19.3344
_cell_length_c 6.6774
_cell_angle_alpha 90.00
_cell_angle_beta 90.00
_cell_angle_gamma 90.00
_symmetry_space_group_name_H-M 'P m m n'
_symmetry_Int_Tables_number 59
loop_
_symmetry_equiv_pos_as_xyz
'x,y,z'
'-x,-y,-z'
'-x+1/2,-y+1/2,z'
'x+1/2,y+1/2,-z'
'x+1/2,-y,-z'
'-x+1/2,y,z'
'-x,y+1/2,-z'
'x,-y+1/2,z'
loop_
_atom_site_label
_atom_site_type_symbol
_atom_site_fract_x
_atom_site_fract_y
_atom_site_fract_z
_atom_site_occupancy
Zr1 Zr 0.2500 0.0685 0.0277 1
Zr2 Zr 0.2500 0.1276 0.5378 1
Zr3 Zr 0.2500 0.2500 0.1514 1
As1 As 0.2500 0.2500 0.7431 1
As2 As 0.2500 0.5522 0.2610 1
As3 As 0.2500 0.6513 0.7604 1
Pd1 Pd 0.2500 0.5276 0.6485 1
Pd2 Pd 0.2500 0.6739 0.1254 1
Pd3 Pd 0.2500 0.7500 0.5145 1

---

# SCAN Al2CrHg, single point on PBEsol structure
# Total DFT energy (no corrections): -25.601 eV/atom
# ΔH_f (0 K): -0.09 eV/atom
data_Al2CrHg
_chemical_formula_sum 'Al2 Cr1 Hg1'
_cell_length_a 4.0291
_cell_length_b 4.0291
_cell_length_c 3.8548
_cell_angle_alpha 90.00
_cell_angle_beta 90.00
_cell_angle_gamma 90.00
_symmetry_space_group_name_H-M 'P 4/m m m'
_symmetry_Int_Tables_number 123
_symmetry_space_group_name_Hall '-P 4 2'
loop_
_atom_site_label
_atom_site_type_symbol
_atom_site_fract_x
_atom_site_fract_y
_atom_site_fract_z
_atom_site_occupancy
Al1 Al 0.0000 0.5000 0.0000 1
Cr1 Cr 0.0000 0.0000 0.5000 1
Hg1 Hg 0.5000 0.5000 0.5000 1

---

# SCAN In2MoW, single point on PBEsol structure
# Total DFT energy (no corrections): -42.486 eV/atom
# ΔH_f (0 K): 0.35 eV/atom
data_In2MoW
_chemical_formula_sum 'In6 Mo3 W3'
_cell_length_a 3.1176
_cell_length_b 3.1176
_cell_length_c 27.8055
_cell_angle_alpha 90.00
_cell_angle_beta 90.00
_cell_angle_gamma 120.00
_symmetry_space_group_name_H-M 'R 3 m'
_symmetry_Int_Tables_number 160
_symmetry_space_group_name_Hall 'R 3 -2"'
loop_
_atom_site_label
_atom_site_type_symbol
_atom_site_fract_x
_atom_site_fract_y
_atom_site_fract_z
_atom_site_occupancy
In1 In 0.0000 0.0000 0.0000 1
In2 In 0.0000 0.0000 0.2365 1
Mo1 Mo 0.0000 0.0000 0.7533 1
W1 W 0.0000 0.0000 0.4826 1

---

# SCAN MgTlPI2, single point on PBEsol structure
# Total DFT energy (no corrections): -32.500 eV/atom
# Energy relative to the elements, uncorrected: -0.2571 eV per atom
data_MgTlPI2
_chemical_formula_sum 'Mg1 Tl1 P1 I2'
_cell_length_a 5.8185
_cell_length_b 5.8185
_cell_length_c 4.9683
_cell_angle_alpha 90.00
_cell_angle_beta 90.00
_cell_angle_gamma 90.00
_symmetry_space_group_name_H-M 'P 4/m m m'
_symmetry_Int_Tables_number 123
_symmetry_space_group_name_Hall '-P 4 2'
loop_
_atom_site_label
_atom_site_type_symbol
_atom_site_fract_x
_atom_site_fract_y
_atom_site_fract_z
_atom_site_occupancy
Mg1 Mg 0.0000 0.0000 0.0000 1
Tl1 Tl 0.5000 0.5000 0.5000 1
P1 P 0.0000 0.0000 0.5000 1
I1 I 0.0000 0.5000 0.0000 1

---

# SCAN MnReSe, single point on PBEsol structure
# Total DFT energy (no corrections): -36.043 eV/atom
# Energy relative to the elements, uncorrected: 0.4338 eV per atom
data_MnReSe
_chemical_formula_sum 'Mn2 Re2 Se2'
_cell_length_a 2.8729
_cell_length_b 2.8729
_cell_length_c 9.6942
_cell_angle_alpha 90.00
_cell_angle_beta 90.00
_cell_angle_gamma 90.00
_symmetry_space_group_name_H-M 'I 4 m m'
_symmetry_Int_Tables_number 107
_symmetry_space_group_name_Hall 'I 4 -2'
loop_
_atom_site_label
_atom_site_type_symbol
_atom_site_fract_x
_atom_site_fract_y
_atom_site_fract_z
_atom_site_occupancy
Mn1 Mn 0.0000 0.0000 0.0000 1
Re1 Re 0.0000 0.0000 0.6616 1
Se1 Se 0.0000 0.0000 0.3404 1

---

# SCAN InFeIr2, single point on PBEsol structure
# Total DFT energy (no corrections): -48.459 eV/atom
# ΔH_f (0 K): -0.03 eV/atom
data_InFeIr2
_chemical_formula_sum 'In1 Fe1 Ir2'
_cell_length_a 4.1327
_cell_length_b 4.1327
_cell_length_c 3.4958
_cell_angle_alpha 90.00
_cell_angle_beta 90.00
_cell_angle_gamma 90.00
_symmetry_space_group_name_H-M 'P 4/m m m'
_symmetry_Int_Tables_number 123
_symmetry_space_group_name_Hall '-P 4 2'
loop_
_atom_site_label
_atom_site_type_symbol
_atom_site_fract_x
_atom_site_fract_y
_atom_site_fract_z
_atom_site_occupancy
In1 In 0.0000 0.0000 0.0000 1
Fe1 Fe 0.5000 0.5000 0.0000 1
Ir1 Ir 0.0000 0.5000 0.5000 1

---

# SCAN CaMg14MnO16, single point on PBEsol structure
# Total DFT energy (no corrections): -9.082 eV/atom
# Energy relative to the elements, uncorrected: -2.9184 eV per atom
data_CaMg14MnO16
_chemical_formula_sum 'Ca1 Mg14 Mn1 O16'
_cell_length_a 8.5418
_cell_length_b 8.5418
_cell_length_c 4.2927
_cell_angle_alpha 90.00
_cell_angle_beta 90.00
_cell_angle_gamma 90.00
_symmetry_space_group_name_H-M 'P 4/m m m'
_symmetry_Int_Tables_number 123
_symmetry_space_group_name_Hall '-P 4 2'
loop_
_atom_site_label
_atom_site_type_symbol
_atom_site_fract_x
_atom_site_fract_y
_atom_site_fract_z
_atom_site_occupancy
Ca1 Ca 0.0000 0.0000 0.0000 1
Mg1 Mg 0.0000 0.2555 0.5000 1
Mg2 Mg 0.0000 0.5000 0.0000 1
Mg3 Mg 0.2492 0.5000 0.5000 1
Mg4 Mg 0.2525 0.2525 0.0000 1
Mn1 Mn 0.5000 0.5000 0.0000 1
O1 O 0.0000 0.0000 0.5000 1
O2 O 0.0000 0.2625 0.0000 1
O3 O 0.0000 0.5000 0.5000 1
O4 O 0.2461 0.5000 0.0000 1
O5 O 0.2504 0.2504 0.5000 1
O6 O 0.5000 0.5000 0.5000 1

---

# SCAN NbZnSiTe2, single point on PBEsol structure
# Total DFT energy (no corrections): -25.415 eV/atom
# Energy relative to the elements, uncorrected: 0.8179 eV per atom
data_NbZnSiTe2
_chemical_formula_sum 'Nb1 Zn1 Si1 Te2'
_cell_length_a 5.2941
_cell_length_b 5.2941
_cell_length_c 4.9449
_cell_angle_alpha 90.00
_cell_angle_beta 90.00
_cell_angle_gamma 90.00
_symmetry_space_group_name_H-M 'P 4/m m m'
_symmetry_Int_Tables_number 123
_symmetry_space_group_name_Hall '-P 4 2'
loop_
_atom_site_label
_atom_site_type_symbol
_atom_site_fract_x
_atom_site_fract_y
_atom_site_fract_z
_atom_site_occupancy
Nb1 Nb 0.0000 0.0000 0.0000 1
Zn1 Zn 0.0000 0.0000 0.5000 1
Si1 Si 0.5000 0.5000 0.5000 1
Te1 Te 0.0000 0.5000 0.0000 1

---

# SCAN CuAu2Cl, single point on PBEsol structure
# Total DFT energy (no corrections): -40.327 eV/atom
# Energy relative to the elements, uncorrected: 0.0460 eV per atom
data_CuAu2Cl
_chemical_formula_sum 'Cu1 Au2 Cl1'
_cell_length_a 2.9785
_cell_length_b 2.9785
_cell_length_c 7.4313
_cell_angle_alpha 90.00
_cell_angle_beta 90.00
_cell_angle_gamma 90.00
_symmetry_space_group_name_H-M 'P 4 m m'
_symmetry_Int_Tables_number 99
_symmetry_space_group_name_Hall 'P 4 -2'
loop_
_atom_site_label
_atom_site_type_symbol
_atom_site_fract_x
_atom_site_fract_y
_atom_site_fract_z
_atom_site_occupancy
Cu1 Cu 0.0000 0.0000 0.0000 1
Au1 Au 0.0000 0.0000 0.4840 1
Au2 Au 0.5000 0.5000 0.2284 1
Cl1 Cl 0.5000 0.5000 0.8102 1

---

| no. | DOS at the Fermi energy (states/eV/cell) |
| --- | --- |
| 1 | 3.1 |
| 2 | 3.2 |
| 3 | 1.8 |
| 4 | 1.9 |
| 5 | 0.6 |
| 6 | 1.9 |
| 7 | 0.0 |
| 8 | 2.4 |
| 9 | 4.2 |
| 10 | 8.3 |
| 11 | 24.3 |
| 12 | 13.5 |
| 13 | 1.5 |
| 14 | 6.8 |
| 15 | 0.0 |
| 16 | 3.1 |
| 17 | 2.2 |
| 18 | 0.0 |
| 19 | 4.2 |
| 20 | 0.7 |